[1]
# Cd2BiPtW

Crystalline Cd2BiPtW at its relaxed geometry (PBE, the Alexandria database).

a b c (Å): 5.445 5.445 5.326
angles (deg): 90.00 90.00 90.00
Space group P4/mmm (No. 123)
One atom of each set of equivalent atoms:
Cd (0.000, 0.500, 0.000) x2
Bi (0.000, 0.000, 0.000) x1
Pt (0.500, 0.500, 0.500) x1
W (0.000, 0.000, 0.500) x1

Calculated values
VASP energy = -3.0480 eV per atom
calculated density = 8.55 g cm⁻³

[2]
# Nb6Ga2Fe

Crystalline Nb6Ga2Fe at its relaxed geometry (PBE, the Alexandria database).

a b c (Å): 8.164 8.361 4.486
angles (deg): 90.00 90.00 90.00
Space group Pnnm (No. 58)
One atom of each set of equivalent atoms:
Nb (0.016, 0.176, 0.000) x4
Nb (0.174, 0.399, 0.500) x4
Nb (0.183, 0.057, 0.500) x4
Ga (0.153, 0.727, 0.500) x4
Fe (0.000, 0.500, 0.000) x2

Calculated values
VASP energy = -8.4137 eV per atom
calculated density = 8.16 g cm⁻³

[3]
# PrCd6Ag4

Crystalline PrCd6Ag4 at its relaxed geometry (PBE, the Alexandria database).

a b c (Å): 7.9883 7.9883 4.4688
angles (deg): 90.00 90.00 120.00
Space group P-6m2 (No. 187)
One atom of each set of equivalent atoms:
Pr (0.0000, 0.0000, 0.0000) x1
Cd (0.1999, 0.3998, 0.5000) x3
Cd (0.5357, 0.0714, 0.0000) x3
Ag (0.3333, 0.6667, 0.0000) x1
Ag (0.4034, 0.2017, 0.5000) x3

Calculated values
VASP energy = -2.0804 eV per atom
calculated density = 8.38 g cm⁻³
E above lowest polymorph = 0 meV/atom

[4]
# SbTeAs2

Crystalline SbTeAs2 at its relaxed geometry (PBE, the Alexandria database).

a b c (Å): 7.178 7.178 7.178
angles (deg): 90.00 90.00 90.00
Space group Fm-3m (No. 225)
One atom of each set of equivalent atoms:
Sb (0.000, 0.000, 0.000) x4
Te (0.000, 0.000, 0.500) x4
As (0.250, 0.250, 0.250) x8

Calculated values
VASP energy = -3.7751 eV per atom
calculated density = 7.17 g cm⁻³
E above lowest polymorph = 295 meV/atom
ΔE_f (raw) = 0.37 eV/atom

[5]
# CrCd3

Crystalline CrCd3 at its relaxed geometry (PBE, the Alexandria database).

a b c (Å): 5.392 9.877 6.121
angles (deg): 90.00 90.00 90.00
Space group Pnma (No. 62)
One atom of each set of equivalent atoms:
Cr (0.079, 0.250, 0.111) x4
Cd (0.069, 0.250, 0.612) x4
Cd (0.243, 0.508, 0.869) x8

Calculated values
VASP energy = -2.8299 eV per atom
calculated density = 7.93 g cm⁻³

[6]
# TaTiReIr

Crystalline TaTiReIr at its relaxed geometry (PBE, the Alexandria database).

a b c (Å): 6.317 6.317 6.317
angles (deg): 90.00 90.00 90.00
Space group F-43m (No. 216)
One atom of each set of equivalent atoms:
Ta (0.000, 0.000, 0.000) x4
Ti (0.000, 0.000, 0.500) x4
Re (0.250, 0.250, 0.250) x4
Ir (0.250, 0.250, 0.750) x4

Calculated values
VASP energy = -10.8259 eV per atom
calculated density = 16.00 g cm⁻³

[7]
# HfIF6

Crystalline HfIF6 at its relaxed geometry (PBE, the Alexandria database).

a b c (Å): 5.660 5.674 5.723
angles (deg): 61.88 85.52 67.23
Space group P-1 (No. 2)
One atom of each set of equivalent atoms:
Hf (0.000, 0.000, 0.000) x1
I (0.500, 0.000, 0.500) x1
F (0.100, 0.331, 0.848) x2
F (0.251, 0.810, 0.327) x2
F (0.294, 0.816, 0.811) x2

Calculated values
VASP energy = -5.4641 eV per atom
calculated density = 4.70 g cm⁻³
ΔE_f (raw) = -2.62 eV/atom

[8]
# Na3TlIn6

Crystalline Na3TlIn6 at its relaxed geometry (PBE, the Alexandria database).

a b c (Å): 3.284 6.097 27.902
angles (deg): 90.00 91.05 90.00
Space group P2_1/c (No. 14)
One atom of each set of equivalent atoms:
Na (0.000, 0.000, 0.000) x2
Na (0.482, 0.000, 0.708) x4
Tl (0.500, 0.000, 0.500) x2
In (0.001, 0.000, 0.188) x4
In (0.447, 0.250, 0.399) x4
In (0.449, 0.246, 0.101) x4

Calculated values
VASP energy = -2.3383 eV per atom
calculated density = 5.72 g cm⁻³

[9]
# NdTl2Sn

Crystalline NdTl2Sn at its relaxed geometry (PBE, the Alexandria database).

a b c (Å): 4.712 4.712 5.033
angles (deg): 90.00 90.00 90.00
Space group P4/mmm (No. 123)
One atom of each set of equivalent atoms:
Nd (0.000, 0.000, 0.000) x1
Tl (0.000, 0.500, 0.500) x2
Sn (0.500, 0.500, 0.000) x1

Calculated values
VASP energy = -3.7571 eV per atom
calculated density = 9.98 g cm⁻³
E above lowest polymorph = 0 meV/atom

[10]
# Ga2Ni2Te

Crystalline Ga2Ni2Te at its relaxed geometry (PBE, the Alexandria database).

a b c (Å): 7.286 7.286 2.956
angles (deg): 90.00 90.00 90.00
Space group P4/mbm (No. 127)
One atom of each set of equivalent atoms:
Ga (0.138, 0.362, 0.000) x4
Ni (0.154, 0.654, 0.500) x4
Te (0.000, 0.000, 0.500) x2

Calculated values
VASP energy = -4.2312 eV per atom
calculated density = 8.14 g cm⁻³
E above lowest polymorph = 51 meV/atom
ΔE_f (raw) = -0.08 eV/atom

[11]
# MnFe6Ge2

Crystalline MnFe6Ge2 at its relaxed geometry (PBE, the Alexandria database).

a b c (Å): 12.472 7.039 2.588
angles (deg): 90.00 92.40 90.00
Space group C2/m (No. 12)
One atom of each set of equivalent atoms:
Mn (0.000, 0.000, 0.000) x2
Fe (0.000, 0.323, 0.500) x4
Fe (0.168, 0.170, 0.707) x8
Ge (0.158, 0.500, 0.102) x4

Calculated values
VASP energy = -7.5437 eV per atom
calculated density = 7.83 g cm⁻³

[12]
# AcMg2SiIr2

Crystalline AcMg2SiIr2 at its relaxed geometry (PBE, the Alexandria database).

a b c (Å): 4.595 4.595 6.266
angles (deg): 90.00 90.00 90.00
Space group P4/mmm (No. 123)
One atom of each set of equivalent atoms:
Ac (0.000, 0.000, 0.000) x1
Mg (0.500, 0.500, 0.253) x2
Si (0.000, 0.000, 0.500) x1
Ir (0.000, 0.500, 0.500) x2

Calculated values
VASP energy = -5.4334 eV per atom
calculated density = 8.64 g cm⁻³
ΔE_f (raw) = -0.36 eV/atom

[13]
# ReB2

Crystalline ReB2 at its relaxed geometry (PBE, the Alexandria database).

a b c (Å): 2.780 2.780 7.109
angles (deg): 90.00 90.00 90.00
Space group I4/mmm (No. 139)
One atom of each set of equivalent atoms:
Re (0.000, 0.000, 0.000) x2
B (0.000, 0.000, 0.318) x4

Calculated values
VASP energy = -8.3137 eV per atom
calculated density = 12.56 g cm⁻³